! CsLiZnHg2 (PBE, relaxed); values from VASP
! SG ... P4/mmm (123)
&SYSTEM
  ibrav = 0, nat = 5, ntyp = 4
/
ATOMIC_SPECIES
Cs 132.91 Cs.upf
Li 6.94 Li.upf
Zn 65.41 Zn.upf
Hg 200.59 Hg.upf
ATOMIC_POSITIONS crystal
Cs 0.000 0.000 0.000
Li 0.500 0.500 0.000
Zn 0.500 0.500 0.500
Hg 0.000 0.500 0.500
Hg 0.500 0.000 0.500
CELL_PARAMETERS angstrom
5.567 0.000 0.000
0.000 5.567 0.000
0.000 0.000 5.320

! CsMgHg3 (PBE, relaxed); values from VASP
! Energy relative to the lowest polymorph listed for this composition ... 0 meV/atom
! SG ... P1 (1)
&SYSTEM
  ibrav = 0, nat = 10, ntyp = 3
/
ATOMIC_SPECIES
Cs 132.91 Cs.upf
Mg 24.30 Mg.upf
Hg 200.59 Hg.upf
ATOMIC_POSITIONS crystal
Cs 0.000 0.000 0.000
Cs 0.003 0.294 0.588
Mg 0.373 0.751 0.499
Mg 0.612 0.541 0.082
Hg 0.110 0.555 0.110
Hg 0.501 0.144 0.791
Hg 0.501 0.340 0.294
Hg 0.501 0.647 0.790
Hg 0.501 0.954 0.292
Hg 0.876 0.739 0.478
CELL_PARAMETERS angstrom
5.823 0.000 0.000
-0.005 7.808 0.000
-0.356 -3.902 7.386

Number 1: energy of formation from the pure elements -0.06 eV per atom. Number 2: energy of formation from the pure elements -0.19 eV per atom.